Entry from Alexandria via LeMat-Bulk: a relaxed PmB14Mo crystal (PBE).

Computed properties:
Raw total energy (eV per atom): -6.9401
Energy relative to the elements (eV/atom): -0.12

Cell lengths 5.8803, 10.9870, 8.2463 Å; angles 90.00, 90.00, 90.00 degrees
Closest atoms and distances in Å follow each position.
Space group Imma (No. 74)
One atom of each set of equivalent atoms:
Pm (0.0000, 0.2500, 0.1257) x4  10 B 2.56-2.86
B (0.0000, 0.0807, 0.6700) x8  5 B 1.70-1.84
B (0.0000, 0.1183, 0.8701) x8  3 B 1.70
B (0.0000, 0.1674, 0.4696) x8  6 B 1.81-1.91
B (0.1603, 0.0634, 0.3388) x16  6 B 1.80-1.89
B (0.2464, 0.0767, 0.5489) x16  6 B 1.70-1.88
Mo (0.2500, 0.2500, 0.7500) x4  12 B 2.29-2.52